Record 1
This record from Alexandria describes a relaxed CaEuCuBi crystal. The functional is GGA-PBE.

ΔH_f (0 K) = -474.1 meV/atom
D(E_F) = 0.65 states/eV/f.u.
Total magnetic moment = 7.005 μB per cell

Cell: 5.423 5.423 5.423 Å, 60.00 60.00 60.00°
Element x y z (fractional)
Eu (0.000, 0.000, 0.000)
Ca (0.500, 0.500, 0.500)
Bi (0.750, 0.750, 0.750)
Cu (0.250, 0.250, 0.250)

---

Record 2
This record from Alexandria describes a relaxed TeRh2 crystal. The functional is GGA-PBE.

Energy relative to the elements, uncorrected = -0.02 eV per atom
D(E_F) = 3.83 states/eV/f.u.
Total magnetic moment = 0.000 μB per cell

Cell: 4.494 4.494 5.758 Å, 90.00 90.00 120.00°
Element x y z (fractional)
Te (0.667, 0.333, 0.250)
Te (0.333, 0.667, 0.750)
Rh (0.000, 0.000, 0.000)
Rh (0.000, 0.000, 0.500)
Rh (0.333, 0.667, 0.250)
Rh (0.667, 0.333, 0.750)

---

Record 3
This record from Alexandria describes a relaxed KFeHg2N crystal. The functional is GGA-PBE.

Energy relative to the elements, uncorrected = 1.26 eV per atom
D(E_F) = 5.85 states/eV/f.u.
Total magnetic moment = 4.776 μB per cell

Cell: 5.060 6.427 5.060 Å, 90.00 90.00 90.00°
Element x y z (fractional)
K (0.000, 0.500, 0.000)
N (0.500, 0.500, 0.500)
Hg (0.000, 0.000, 0.500)
Hg (0.500, 0.000, 0.000)
Fe (0.000, 0.000, 0.000)

---

Record 4
This record from Alexandria describes a relaxed Sc12Co5Pb crystal. The functional is GGA-PBE.

ΔH_f (0 K) = -332.6 meV/atom
D(E_F) = 12.57 states/eV/f.u.
Total magnetic moment = 0.000 μB per cell

Cell: 7.708 7.708 7.708 Å, 106.07 110.90 111.49°
Element x y z (fractional)
Sc (0.537, 0.816, 0.721)
Sc (0.463, 0.184, 0.279)
Sc (0.905, 0.184, 0.721)
Sc (0.095, 0.816, 0.279)
Sc (0.696, 0.687, 0.383)
Sc (0.304, 0.313, 0.617)
Sc (0.304, 0.687, 0.991)
Sc (0.696, 0.313, 0.009)
Sc (0.803, 0.585, 0.781)
Sc (0.197, 0.415, 0.219)
Sc (0.197, 0.978, 0.781)
Sc (0.803, 0.022, 0.219)
Co (0.635, 0.635, 0.000)
Co (0.365, 0.365, 0.000)
Co (0.500, 0.118, 0.618)
Co (0.500, 0.882, 0.382)
Co (0.000, 0.000, 0.000)
Pb (0.000, 0.500, 0.500)

---

Record 5
This record from Alexandria describes a relaxed ScCoP2Os crystal. The functional is GGA-PBE.

ΔH_f (0 K) = 1571.7 meV/atom
D(E_F) = 6.67 states/eV/f.u.
Total magnetic moment = 2.294 μB per cell

Cell: 4.715 4.173 4.715 Å, 90.00 90.00 90.00°
Element x y z (fractional)
Sc (0.000, 0.000, 0.000)
Co (0.000, 0.500, 0.000)
Os (0.500, 0.500, 0.500)
P (0.000, 0.000, 0.500)
P (0.500, 0.000, 0.000)

---

Record 6
This record from Alexandria describes a relaxed Pm4Ga2C crystal. The functional is GGA-PBE.

ΔH_f (0 K) = -334.1 meV/atom
D(E_F) = 0.51 states/eV/f.u.
Total magnetic moment = 0.000 μB per cell

Cell: 5.086 5.086 8.083 Å, 71.66 71.66 90.00°
Element x y z (fractional)
C (0.000, 0.000, 0.000)
Ga (0.621, 0.621, 0.758)
Ga (0.379, 0.379, 0.242)
Pm (0.826, 0.826, 0.348)
Pm (0.174, 0.174, 0.652)
Pm (0.000, 0.500, 0.000)
Pm (0.500, 0.000, 0.000)

---

Record 7
This record from Alexandria describes a relaxed LuTh2Re crystal. The functional is GGA-PBE.

ΔH_f (0 K) = 541.8 meV/atom
D(E_F) = 5.89 states/eV/f.u.
Total magnetic moment = 0.000 μB per cell

Cell: 3.885 3.885 10.574 Å, 79.41 79.41 60.00°
Element x y z (fractional)
Re (0.500, 0.500, 0.500)
Lu (0.000, 0.000, 0.000)
Th (0.112, 0.112, 0.663)
Th (0.888, 0.888, 0.337)

---

Record 8
This record from Alexandria describes a relaxed CeY2Se crystal. The functional is GGA-PBE.

Energy relative to the elements, uncorrected = -0.53 eV per atom
D(E_F) = 8.30 states/eV/f.u.
Total magnetic moment = 1.244 μB per cell

Cell: 3.690 3.690 10.588 Å, 79.96 79.96 60.00°
Element x y z (fractional)
Y (0.108, 0.108, 0.676)
Y (0.892, 0.892, 0.324)
Se (0.500, 0.500, 0.500)
Ce (0.000, 0.000, 0.000)

---

Record 9
This record from Alexandria describes a relaxed Sr2LiHgSe crystal. The functional is GGA-PBE.

Energy relative to the elements, uncorrected = -0.82 eV per atom
D(E_F) = 4.44 states/eV/f.u.
Total magnetic moment = 0.004 μB per cell

Cell: 6.010 6.010 4.701 Å, 90.00 90.00 90.00°
Element x y z (fractional)
Sr (0.000, 0.500, 0.000)
Sr (0.500, 0.000, 0.000)
Hg (0.500, 0.500, 0.500)
Se (0.000, 0.000, 0.000)
Li (0.000, 0.000, 0.500)

---

Record 10
This record from Alexandria describes a relaxed SrMo2Se crystal. The functional is GGA-PBE.

Energy relative to the elements, uncorrected = 0.28 eV per atom
D(E_F) = 4.15 states/eV/f.u.
Total magnetic moment = 0.000 μB per cell

Cell: 6.001 6.001 5.117 Å, 72.23 72.23 31.79°
Element x y z (fractional)
Mo (0.037, 0.037, 0.876)
Mo (0.463, 0.463, 0.624)
Se (0.750, 0.750, 0.750)
Sr (0.250, 0.250, 0.250)

---

Record 11
This record from Alexandria describes a relaxed Na2PuZr2Te6 crystal. The functional is GGA-PBE.

Energy relative to the elements, uncorrected = -0.94 eV per atom
D(E_F) = 15.27 states/eV/f.u.
Total magnetic moment = 6.023 μB per cell

Cell: 7.316 7.316 8.081 Å, 98.39 98.39 120.32°
Element x y z (fractional)
Na (0.840, 0.160, 0.000)
Na (0.160, 0.840, 0.000)
Pu (0.000, 0.000, 0.500)
Zr (0.332, 0.668, 0.500)
Zr (0.668, 0.332, 0.500)
Te (0.719, 0.719, 0.726)
Te (0.075, 0.424, 0.728)
Te (0.281, 0.281, 0.274)
Te (0.424, 0.075, 0.728)
Te (0.925, 0.576, 0.272)
Te (0.576, 0.925, 0.272)

---

Record 12
This record from Alexandria describes a relaxed La3SmY7 crystal. The functional is GGA-PBE.

ΔH_f (0 K) = 144.4 meV/atom
D(E_F) = 17.15 states/eV/f.u.
Total magnetic moment = 0.000 μB per cell

Cell: 5.601 10.322 8.980 Å, 106.21 128.53 90.01°
Element x y z (fractional)
La (0.286, 0.003, 0.786)
La (0.000, 0.500, 0.000)
La (0.714, 0.997, 0.214)
Sm (0.500, 0.500, 0.500)
Y (0.907, 0.829, 0.907)
Y (0.857, 0.712, 0.357)
Y (0.688, 0.366, 0.188)
Y (0.312, 0.634, 0.812)
Y (0.500, 0.000, 0.500)
Y (0.143, 0.288, 0.643)
Y (0.093, 0.171, 0.093)

---

> The highest D(E_F) belongs to which entry?

La3SmY7